(1)
## Pr2SmHo4Tm2 (PBE)

Data for an optimized crystal structure of Pr2SmHo4Tm2.

Computed properties:
**Symmetry**: P-1
**Uncorrected energy**: -4.530 eV per atom
**M_tot**: 0.00 μB/f.u.
**V**: 291.97 Å³ per cell

abc: 6.0116 6.6175 8.5930
angles: 79.92 70.40 65.14
Closest atoms and distances in Å follow each position.
Sites, in units of the cell vectors:
Pr1 0.2318 0.3269 0.3424  5 Ho 3.38-3.73, 1 Sm 3.47, 4 Tm 3.48-3.52, 1 Pr 3.48
Pr2 0.7682 0.6731 0.6576  5 Ho 3.38-3.73, 1 Sm 3.47, 4 Tm 3.48-3.52, 1 Pr 3.48
Sm1 0.5000 0.0000 0.0000  4 Ho 3.34-3.56, 2 Pr 3.47
Ho1 0.1166 0.1279 0.7616  1 Sm 3.34, 3 Tm 3.43-3.54, 3 Ho 3.45-3.73, 3 Pr 3.46-3.73
Ho2 0.2384 0.5765 0.8841  4 Ho 3.33-3.73, 2 Pr 3.38-3.73, 2 Tm 3.53-3.69, 1 Sm 3.56
Ho3 0.7615 0.4235 0.1159  4 Ho 3.33-3.73, 2 Pr 3.38-3.73, 2 Tm 3.53-3.69, 1 Sm 3.56
Ho4 0.8834 0.8721 0.2384  1 Sm 3.34, 3 Tm 3.43-3.54, 3 Ho 3.45-3.73, 3 Pr 3.46-3.73
Tm1 0.3210 0.7697 0.4460  5 Ho 3.43-3.69, 2 Tm 3.46-3.71, 4 Pr 3.48-3.52, 1 Sm 3.84
Tm2 0.6790 0.2303 0.5540  5 Ho 3.43-3.69, 2 Tm 3.46-3.71, 4 Pr 3.48-3.52, 1 Sm 3.84



(2)
## CeThCuPt (PBE)

Data for an optimized crystal structure of CeThCuPt.

Computed properties:
**Symmetry**: Amm2
**E above lowest polymorph**: 0 meV per atom
**M_tot**: 1.05 μB/f.u.
**V**: 95.21 Å³ per cell

abc: 4.4170 5.9187 5.9187
angles: 37.97 90.00 90.00
Closest atoms and distances in Å follow each position.
Sites, in units of the cell vectors:
Ce1 0.0000 0.0000 0.0000  4 Cu 3.01, 3 Pt 3.12-3.14
Th1 0.5000 0.2790 0.2790  4 Pt 3.01, 3 Cu 3.10-3.16
Cu1 0.5000 0.5616 0.5616  2 Pt 2.83, 4 Ce 3.01, 3 Th 3.10-3.16
Pt1 0.0000 0.7193 0.7193  2 Cu 2.83, 4 Th 3.01, 3 Ce 3.12-3.14



(3)
## Ta2MoRhN (PBE)

Data for an optimized crystal structure of Ta2MoRhN.

Computed properties:
**Uncorrected formation energy**: -481 meV/atom
**Symmetry**: P4/mmm
**M_tot**: 0.00 μB/f.u.
**V**: 72.85 Å³ per cell

abc: 4.2326 4.2326 4.0666
angles: 90.00 90.00 90.00
Closest atoms and distances in Å follow each position.
Sites, in units of the cell vectors:
Ta1 0.0000 0.5000 0.0000  2 N 2.12
Ta2 0.5000 0.0000 0.0000  2 N 2.12
Mo1 0.0000 0.0000 0.5000  2 N 2.03
Rh1 0.5000 0.5000 0.5000  8 Ta 2.93, 4 Mo 2.99
N1 0.0000 0.0000 0.0000  2 Mo 2.03, 4 Ta 2.12



(4)
## RbErAs2O6 (PBE)

Data for an optimized crystal structure of RbErAs2O6.

Computed properties:
**Uncorrected formation energy**: -1787 meV/atom
**Symmetry**: R-3
**M_tot**: 1.98 μB/f.u.
**V**: 181.92 Å³ per cell

abc: 7.0343 7.0343 7.0343
angles: 48.98 48.98 48.98
Closest atoms and distances in Å follow each position.
Sites, in units of the cell vectors:
Rb1 0.0000 0.0000 0.0000  6 O 3.03
Er1 0.5000 0.5000 0.5000  6 O 2.25
As1 0.2624 0.2624 0.2624  3 O 1.73
As2 0.7376 0.7376 0.7376  3 O 1.73
O1 0.0773 0.5225 0.6958  1 As 1.73
O2 0.3042 0.9227 0.4775  1 As 1.73
O3 0.4775 0.3042 0.9227  1 As 1.73
O4 0.5225 0.6958 0.0773  1 As 1.73
O5 0.6958 0.0773 0.5225  1 As 1.73
O6 0.9227 0.4775 0.3042  1 As 1.73



(5)
## NiAg2P (PBE)

Data for an optimized crystal structure of NiAg2P.

Computed properties:
**Symmetry**: P4/mmm
**Uncorrected energy**: -3.841 eV per atom
**M_tot**: 0.28 μB/f.u.
**V**: 62.67 Å³ per cell

abc: 2.7652 2.7652 8.1961
angles: 90.00 90.00 90.00
Closest atoms and distances in Å follow each position.
Sites, in units of the cell vectors:
Ni1 0.0000 0.0000 0.0000  8 Ag 2.73, 4 Ni 2.77
Ag1 0.5000 0.5000 0.2322  4 Ni 2.73, 4 Ag 2.77, 4 P 2.94
Ag2 0.5000 0.5000 0.7678  4 Ni 2.73, 4 Ag 2.77, 4 P 2.94
P1 0.0000 0.0000 0.5000  4 P 2.77, 8 Ag 2.94



(6)
## AcSm2Al9 (PBE)

Data for an optimized crystal structure of AcSm2Al9.

Computed properties:
**Symmetry**: R-3m
**Uncorrected energy**: -4.321 eV per atom
**M_tot**: 0.00 μB/f.u.
**V**: 251.79 Å³ per cell

abc: 9.4485 9.4485 9.4485
angles: 35.31 35.31 35.31
Closest atoms and distances in Å follow each position.
Sites, in units of the cell vectors:
Ac1 0.0000 0.0000 0.0000  18 Al 3.31-3.63
Sm1 0.1415 0.1415 0.1415  12 Al 3.25-3.38, 3 Sm 3.57
Sm2 0.8585 0.8585 0.8585  12 Al 3.25-3.38, 3 Sm 3.57
Al1 0.0756 0.5881 0.5881  7 Al 2.74-2.94
Al2 0.3360 0.3360 0.3360  6 Al 2.74-2.81
Al3 0.4119 0.4119 0.9244  7 Al 2.74-2.94
Al4 0.4119 0.9244 0.4119  7 Al 2.74-2.94
Al5 0.5000 0.5000 0.5000  6 Al 2.77
Al6 0.5881 0.0756 0.5881  7 Al 2.74-2.94
Al7 0.5881 0.5881 0.0756  7 Al 2.74-2.94
Al8 0.6640 0.6640 0.6640  6 Al 2.74-2.81
Al9 0.9244 0.4119 0.4119  7 Al 2.74-2.94



(7)
## LaNdGa4 (PBE)

Data for an optimized crystal structure of LaNdGa4.

Computed properties:
**Symmetry**: F-43m
**E above lowest polymorph**: 111 meV per atom
**M_tot**: 0.00 μB/f.u.
**V**: 129.21 Å³ per cell

abc: 5.6746 5.6746 5.6746
angles: 60.00 60.00 60.00
Closest atoms and distances in Å follow each position.
Sites, in units of the cell vectors:
La1 0.0000 0.0000 0.0000  12 Ga 3.33, 4 Nd 3.47
Nd1 0.2500 0.2500 0.2500  12 Ga 3.33, 4 La 3.47
Ga1 0.1247 0.6251 0.6251  6 Ga 2.83-2.84
Ga2 0.6251 0.1247 0.6251  6 Ga 2.83-2.84
Ga3 0.6251 0.6251 0.1247  6 Ga 2.83-2.84
Ga4 0.6251 0.6251 0.6251  6 Ga 2.83-2.84



(8)
## HgGe2AsO6 (PBE)

Data for an optimized crystal structure of HgGe2AsO6.

Computed properties:
**Uncorrected formation energy**: -1136 meV/atom
**Symmetry**: C2/c
**M_tot**: 0.00 μB/f.u.
**V**: 288.79 Å³ per cell

abc: 7.3742 7.3742 5.4840
angles: 100.21 100.21 87.19
Closest atoms and distances in Å follow each position.
Sites, in units of the cell vectors:
Hg1 0.0797 0.9203 0.7500  4 O 2.47-2.60
Hg2 0.9203 0.0797 0.2500  4 O 2.47-2.60
Ge1 0.1600 0.3687 0.7742  4 O 1.74-1.81
Ge2 0.3687 0.1600 0.2742  4 O 1.74-1.81
Ge3 0.6313 0.8400 0.7258  4 O 1.74-1.81
Ge4 0.8400 0.6313 0.2258  4 O 1.74-1.81
As1 0.3032 0.6968 0.2500  4 O 1.86-2.06
As2 0.6968 0.3032 0.7500  4 O 1.86-2.06
O1 0.0736 0.7078 0.3473  1 Ge 1.81, 1 As 1.86
O2 0.1610 0.6036 0.8936  1 Ge 1.74
O3 0.2481 0.3134 0.4846  2 Ge 1.79
O4 0.2922 0.9264 0.1527  1 Ge 1.81, 1 As 1.86
O5 0.3134 0.2481 0.9846  2 Ge 1.79
O6 0.3964 0.8390 0.6064  1 Ge 1.74
O7 0.6036 0.1610 0.3936  1 Ge 1.74
O8 0.6866 0.7519 0.0154  2 Ge 1.79
O9 0.7078 0.0736 0.8473  1 Ge 1.81, 1 As 1.86
O10 0.7519 0.6866 0.5154  2 Ge 1.79
O11 0.8390 0.3964 0.1064  1 Ge 1.74
O12 0.9264 0.2922 0.6527  1 Ge 1.81, 1 As 1.86



(9)
## TaMoP (PBE)

Data for an optimized crystal structure of TaMoP.

Computed properties:
**Symmetry**: Fmm2
**Uncorrected energy**: -9.537 eV per atom
**M_tot**: 0.00 μB/f.u.
**V**: 46.96 Å³ per cell

abc: 6.2782 6.0376 2.9366
angles: 80.81 71.69 27.50
Closest atoms and distances in Å follow each position.
Sites, in units of the cell vectors:
Ta1 0.0000 0.0000 0.0000  2 P 2.49
Mo1 0.6928 0.6928 0.3072  2 P 2.42
P1 0.3422 0.3422 0.6578  2 Mo 2.42, 2 Ta 2.49



(10)
## Er4ThAl5 (PBE)

Data for an optimized crystal structure of Er4ThAl5.

Computed properties:
**Symmetry**: P4/mmm
**Uncorrected energy**: -4.801 eV per atom
**M_tot**: 0.00 μB/f.u.
**V**: 233.05 Å³ per cell

abc: 3.5365 3.5365 18.6340
angles: 90.00 90.00 90.00
Closest atoms and distances in Å follow each position.
Sites, in units of the cell vectors:
Er1 0.0000 0.0000 0.0966  8 Al 3.08
Er2 0.0000 0.0000 0.2907  8 Al 3.09-3.10
Er3 0.0000 0.0000 0.7093  8 Al 3.09-3.10
Er4 0.0000 0.0000 0.9034  8 Al 3.08
Th1 0.0000 0.0000 0.5000  8 Al 3.25, 4 Th 3.54
Al1 0.5000 0.5000 0.0000  8 Er 3.08
Al2 0.5000 0.5000 0.1932  8 Er 3.08-3.09
Al3 0.5000 0.5000 0.3888  4 Er 3.10, 4 Th 3.25
Al4 0.5000 0.5000 0.6112  4 Er 3.10, 4 Th 3.25
Al5 0.5000 0.5000 0.8068  8 Er 3.08-3.09